TaFeI2O PBE with a Hubbard U optimized geometry; excess energy over the best structure of this formula in the dataset = 560.7 meV/atom; V = 22.50 Å³/atom
1.0
5.588 0.000 0.000
0.000 5.588 0.000
0.000 0.000 3.602
Ta Fe I O
1 1 2 1
direct
0.000 0.000 0.000 Ta
0.500 0.500 0.500 Fe
0.000 0.500 0.500 I
0.500 0.000 0.500 I
0.500 0.500 0.000 O